CsGeTe2I after structural relaxation, computed with GGA-PBE.

```
5
Lattice="6.395 0.000 0.000 0.000 6.395 0.000 0.000 0.000 6.842" Properties=species:S:1:pos:R:3 pbc="T T T"
Cs 0.000 0.000 0.000
Ge 3.197 3.197 3.421
Te 3.197 0.000 0.000
I 0.000 0.000 3.421
Te 0.000 3.197 0.000
```

Properties
ΔE to the lowest computed polymorph ... 1330 meV/atom
Formation energy (no corrections) ... 93.7 kJ/mol of atoms

=====

Na2PuNpCl8 after structural relaxation, computed with GGA-PBE.

```
12
Lattice="6.521 -0.199 -0.010 -0.191 6.632 0.000 0.007 0.008 8.452" Properties=species:S:1:pos:R:3 pbc="T T T"
Na 3.173 3.225 6.317
Cl 4.547 4.426 4.217
Np 0.000 0.000 0.000
Cl 1.167 5.468 6.375
Cl 1.165 5.465 2.077
Cl 4.565 4.430 -0.006
Cl 5.171 0.974 2.067
Pu 0.004 0.004 4.226
Cl 1.791 2.015 4.225
Cl 5.173 0.976 6.365
Na 3.166 3.217 2.125
Cl 1.773 2.012 8.448
```

Properties
Formation energy (no corrections) ... -174.5 kJ/mol of atoms